First-principles (PBE with a Hubbard U) data for a geometry-optimized CsK3V4O12 structure, as listed in the Alexandria database.

- spin magnetization (μB per formula unit) = 0.00
- crystal system = trigonal
- VASP energy (eV/atom) = -6.255

CIF file:
```
data_CsK3V4O12
_symmetry_space_group_name_H-M 'R 3 2'
_symmetry_Int_Tables_number 155
_symmetry_space_group_name_Hall 'R 3 2"'
_cell_length_a 13.4963
_cell_length_b 13.4963
_cell_length_c 7.1277
_cell_angle_alpha 90.00
_cell_angle_beta 90.00
_cell_angle_gamma 120.00
loop_
_atom_site_label
_atom_site_fract_x
_atom_site_fract_y
_atom_site_fract_z
_atom_site_occupancy
Cs1 0.0000 0.0000 0.0000 1
K1 0.0000 0.5724 0.0000 1
V1 0.0000 0.0000 0.5000 1
V2 0.0000 0.4151 0.5000 1
O1 0.0000 0.5404 0.5000 1
O2 0.0000 0.8757 0.5000 1
O3 0.0515 0.2639 0.1516 1
```


First-principles (PBE with a Hubbard U) data for a geometry-optimized K2V2CoO7 structure, as listed in the Alexandria database.

- spin magnetization (μB per formula unit) = 3.00
- crystal system = tetragonal
- VASP energy (eV/atom) = -6.623

CIF file:
```
data_K2V2CoO7
_symmetry_space_group_name_H-M 'P -4 21 m'
_symmetry_Int_Tables_number 113
_cell_length_a 8.5799
_cell_length_b 8.5799
_cell_length_c 5.7106
_cell_angle_alpha 90.00
_cell_angle_beta 90.00
_cell_angle_gamma 90.00
loop_
_symmetry_equiv_pos_as_xyz
'x,y,z'
'y,-x,-z'
'-x,-y,z'
'-y,x,-z'
'x+1/2,-y+1/2,-z'
'y+1/2,x+1/2,z'
'-x+1/2,y+1/2,-z'
'-y+1/2,-x+1/2,z'
loop_
_atom_site_label
_atom_site_fract_x
_atom_site_fract_y
_atom_site_fract_z
_atom_site_occupancy
K1 0.1620 0.3380 0.4901 1
V1 0.1424 0.6424 0.9504 1
Co1 0.0000 0.0000 0.0000 1
O1 0.0000 0.5000 0.8429 1
O2 0.0895 0.8220 0.8315 1
O3 0.1448 0.6448 0.2445 1
```